(1)
DFT (PBE) results for a relaxed HgP2Cl crystal.

Summary:
DOS(E_F) = 0.382 states/eV/atom
offset from the most stable computed form = 215 meV per atom
raw formation energy = 0.13 eV per atom
magnetic moment = 0.00 μB per cell
raw total energy = -0.2290 Ry/atom
calculated volume = 95.2 Å³/f.u.

Cell: 4.368 3.920 5.665 Å, 90.00 100.92 90.00°
Space group P2/m (No. 10)
Inequivalent atoms, fractional coordinates:
1 Hg 0.000 0.000 0.000 (multiplicity 1)
2 P 0.318 0.500 0.853 (multiplicity 2)
3 Cl 0.500 0.000 0.500 (multiplicity 1)


(2)
DFT (PBE) results for a relaxed HgP2Cl crystal.

Summary:
DOS(E_F) = 0.605 states/eV/atom
offset from the most stable computed form = 570 meV per atom
raw formation energy = 0.48 eV per atom
magnetic moment = 0.00 μB per cell
raw total energy = -0.2028 Ry/atom
calculated volume = 79.8 Å³/f.u.

Cell: 5.655 7.514 4.697 Å, 90.00 126.86 90.00°
Space group C2/m (No. 12)
Inequivalent atoms, fractional coordinates:
1 Hg 0.000 0.000 0.000 (multiplicity 2)
2 P 0.250 0.250 0.500 (multiplicity 4)
3 Cl 0.000 0.500 0.000 (multiplicity 2)


(3)
DFT (PBE) results for a relaxed HgP2Cl crystal.

Summary:
DOS(E_F) = 0.379 states/eV/atom
offset from the most stable computed form = 765 meV per atom
raw formation energy = 0.68 eV per atom
magnetic moment = 0.00 μB per cell
raw total energy = -0.1885 Ry/atom
calculated volume = 77.3 Å³/f.u.

Cell: 3.168 4.535 5.379 Å, 90.00 90.00 90.00°
Space group Pmmm (No. 47)
Inequivalent atoms, fractional coordinates:
1 Hg 0.000 0.000 0.000 (multiplicity 1)
2 P 0.000 0.500 0.500 (multiplicity 1)
3 P 0.500 0.500 0.000 (multiplicity 1)
4 Cl 0.500 0.000 0.500 (multiplicity 1)


(4)
DFT (PBE) results for a relaxed HgPCl2 crystal.

Summary:
DOS(E_F) = 0.050 states/eV/atom
offset from the most stable computed form = 88 meV per atom
raw formation energy = -0.11 eV per atom
magnetic moment = 0.00 μB per cell
raw total energy = -0.1812 Ry/atom
calculated volume = 109.7 Å³/f.u.

Cell: 3.215 3.416 9.994 Å, 90.00 91.24 90.00°
Space group P2/m (No. 10)
Inequivalent atoms, fractional coordinates:
1 Hg 0.000 0.000 0.000 (multiplicity 1)
2 P 0.500 0.000 0.500 (multiplicity 1)
3 Cl 0.488 0.500 0.331 (multiplicity 2)


(5)
DFT (PBE) results for a relaxed HgP2Cl crystal.

Summary:
DOS(E_F) = 0.630 states/eV/atom
offset from the most stable computed form = 76 meV per atom
raw formation energy = -0.01 eV per atom
magnetic moment = 0.00 μB per cell
raw total energy = -0.2392 Ry/atom
calculated volume = 90.0 Å³/f.u.

Cell: 3.3672 3.3672 27.4877 Å, 90.00 90.00 120.00°
Space group R3m (No. 160, hexagonal axes)
Inequivalent atoms, fractional coordinates:
1 Hg 0.0000 0.0000 0.0000 (multiplicity 3)
2 P 0.0000 0.0000 0.2164 (multiplicity 3)
3 P 0.0000 0.0000 0.5069 (multiplicity 3)
4 Cl 0.0000 0.0000 0.7721 (multiplicity 3)


(6)
DFT (PBE) results for a relaxed HgPCl2 crystal.

Summary:
DOS(E_F) = 0.987 states/eV/atom
offset from the most stable computed form = 803 meV per atom
raw formation energy = 0.60 eV per atom
magnetic moment = 4.50 μB per cell
raw total energy = -0.1286 Ry/atom
calculated volume = 87.9 Å³/f.u.

Cell: 7.058 7.058 7.058 Å, 90.00 90.00 90.00°
Space group Fm-3m (No. 225)
Inequivalent atoms, fractional coordinates:
1 Hg 0.000 0.000 0.000 (multiplicity 4)
2 P 0.000 0.000 0.500 (multiplicity 4)
3 Cl 0.250 0.250 0.250 (multiplicity 8)


(7)
DFT (PBE) results for a relaxed HgP2Cl crystal.

Summary:
DOS(E_F) = 0.433 states/eV/atom
offset from the most stable computed form = 465 meV per atom
raw formation energy = 0.38 eV per atom
magnetic moment = 0.00 μB per cell
raw total energy = -0.2106 Ry/atom
calculated volume = 98.1 Å³/f.u.

Cell: 4.112 4.112 5.799 Å, 90.00 90.00 90.00°
Space group P4/mmm (No. 123)
Inequivalent atoms, fractional coordinates:
1 Hg 0.000 0.000 0.000 (multiplicity 1)
2 P 0.500 0.500 0.173 (multiplicity 2)
3 Cl 0.000 0.000 0.500 (multiplicity 1)


(8)
DFT (PBE) results for a relaxed Hg2PCl8 crystal.

Summary:
DOS(E_F) = 0.179 states/eV/atom
raw formation energy = -0.42 eV per atom
magnetic moment = 2.06 μB per cell
raw total energy = -0.1698 Ry/atom
calculated volume = 390.9 Å³/f.u.

Cell: 12.328 6.807 9.852 Å, 90.00 109.00 90.00°
Space group C2/m (No. 12)
Inequivalent atoms, fractional coordinates:
1 Hg 0.174 0.000 0.071 (multiplicity 4)
2 P 0.000 0.500 0.500 (multiplicity 2)
3 Cl 0.046 0.000 0.201 (multiplicity 4)
4 Cl 0.125 0.277 0.594 (multiplicity 8)
5 Cl 0.186 0.500 0.040 (multiplicity 4)


(9)
DFT (PBE) results for a relaxed Hg4PCl crystal.

Summary:
DOS(E_F) = 0.422 states/eV/atom
raw formation energy = 0.41 eV per atom
magnetic moment = 0.00 μB per cell
raw total energy = -0.0734 Ry/atom
calculated volume = 145.6 Å³/f.u.

Cell: 8.351 8.351 8.351 Å, 90.00 90.00 90.00°
Space group F-43m (No. 216)
Inequivalent atoms, fractional coordinates:
1 Hg 0.125 0.125 0.125 (multiplicity 16)
2 P 0.250 0.250 0.750 (multiplicity 4)
3 Cl 0.000 0.000 0.500 (multiplicity 4)


(10)
DFT (PBE) results for a relaxed HgPCl2 crystal.

Summary:
DOS(E_F) = 0.460 states/eV/atom
offset from the most stable computed form = 197 meV per atom
raw formation energy = 0.00 eV per atom
magnetic moment = 1.38 μB per cell
raw total energy = -0.1732 Ry/atom
calculated volume = 130.4 Å³/f.u.

Cell: 3.433 7.190 10.565 Å, 90.00 90.00 90.00°
Space group Cmmm (No. 65)
Inequivalent atoms, fractional coordinates:
1 Hg 0.000 0.000 0.000 (multiplicity 2)
2 P 0.000 0.000 0.500 (multiplicity 2)
3 Cl 0.000 0.500 0.342 (multiplicity 4)


(11)
DFT (PBE) results for a relaxed HgPCl2 crystal.

Summary:
DOS(E_F) = 0.732 states/eV/atom
offset from the most stable computed form = 586 meV per atom
raw formation energy = 0.38 eV per atom
magnetic moment = 0.17 μB per cell
raw total energy = -0.1446 Ry/atom
calculated volume = 96.9 Å³/f.u.

Cell: 3.816 3.816 13.301 Å, 90.00 90.00 90.00°
Space group I-4m2 (No. 119)
Inequivalent atoms, fractional coordinates:
1 Hg 0.000 0.000 0.000 (multiplicity 2)
2 P 0.000 0.500 0.750 (multiplicity 2)
3 Cl 0.000 0.000 0.500 (multiplicity 2)
4 Cl 0.000 0.500 0.250 (multiplicity 2)


(12)
DFT (PBE) results for a relaxed Hg12P3Cl5 crystal.

Summary:
DOS(E_F) = 0.323 states/eV/atom
raw formation energy = 0.06 eV per atom
magnetic moment = 0.00 μB per cell
raw total energy = -0.1027 Ry/atom
calculated volume = 602.4 Å³/f.u.

Cell: 16.891 16.891 16.891 Å, 90.00 90.00 90.00°
Space group Ia-3d (No. 230)
Inequivalent atoms, fractional coordinates:
1 Hg 0.024 0.096 0.652 (multiplicity 96)
2 P 0.000 0.250 0.125 (multiplicity 24)
3 Cl 0.000 0.000 0.000 (multiplicity 16)
4 Cl 0.000 0.250 0.375 (multiplicity 24)


(13)
DFT (PBE) results for a relaxed Hg4PCl3 crystal.

Summary:
DOS(E_F) = 0.000 states/eV/atom
raw formation energy = -0.34 eV per atom
magnetic moment = 0.00 μB per cell
raw total energy = -0.1366 Ry/atom
calculated volume = 301.6 Å³/f.u.

Cell: 10.854 7.330 7.581 Å, 90.00 90.00 90.00°
Space group Pmn2_1 (No. 31)
Inequivalent atoms, fractional coordinates:
1 Hg 0.000 0.101 0.000 (multiplicity 2)
2 Hg 0.000 0.875 0.429 (multiplicity 2)
3 Hg 0.162 0.286 0.381 (multiplicity 4)
4 P 0.000 0.170 0.572 (multiplicity 2)
5 Cl 0.000 0.618 0.233 (multiplicity 2)
6 Cl 0.172 0.631 0.691 (multiplicity 4)


(14)
DFT (PBE) results for a relaxed HgP2Cl crystal.

Summary:
DOS(E_F) = 0.407 states/eV/atom
offset from the most stable computed form = 793 meV per atom
raw formation energy = 0.70 eV per atom
magnetic moment = 0.00 μB per cell
raw total energy = -0.1865 Ry/atom
calculated volume = 77.3 Å³/f.u.

Cell: 3.214 5.468 8.801 Å, 90.00 90.00 90.00°
Space group Cmmm (No. 65)
Inequivalent atoms, fractional coordinates:
1 Hg 0.000 0.000 0.000 (multiplicity 2)
2 P 0.000 0.500 0.256 (multiplicity 4)
3 Cl 0.000 0.000 0.500 (multiplicity 2)


(15)
DFT (PBE) results for a relaxed HgPCl2 crystal.

Summary:
DOS(E_F) = 0.775 states/eV/atom
offset from the most stable computed form = 757 meV per atom
raw formation energy = 0.55 eV per atom
magnetic moment = 0.12 μB per cell
raw total energy = -0.1321 Ry/atom
calculated volume = 85.3 Å³/f.u.

Cell: 4.603 4.603 4.026 Å, 90.00 90.00 90.00°
Space group P4/mmm (No. 123)
Inequivalent atoms, fractional coordinates:
1 Hg 0.000 0.000 0.000 (multiplicity 1)
2 P 0.500 0.500 0.000 (multiplicity 1)
3 Cl 0.000 0.500 0.500 (multiplicity 2)


(16)
DFT (PBE) results for a relaxed HgPPbCl2 crystal.

Summary:
DOS(E_F) = 0.570 states/eV/atom
offset from the most stable computed form = 136 meV per atom
raw formation energy = 0.16 eV per atom
magnetic moment = 0.84 μB per cell
raw total energy = -0.1807 Ry/atom
calculated volume = 158.3 Å³/f.u.

Cell: 5.438 5.438 5.352 Å, 90.00 90.00 90.00°
Space group P4/mmm (No. 123)
Inequivalent atoms, fractional coordinates:
1 Hg 0.000 0.000 0.000 (multiplicity 1)
2 P 0.000 0.000 0.500 (multiplicity 1)
3 Pb 0.500 0.500 0.500 (multiplicity 1)
4 Cl 0.000 0.500 0.000 (multiplicity 2)


(17)
DFT (PBE) results for a relaxed HgPPb2Cl crystal.

Summary:
DOS(E_F) = 0.798 states/eV/atom
raw formation energy = 0.41 eV per atom
magnetic moment = 0.00 μB per cell
raw total energy = -0.1903 Ry/atom
calculated volume = 170.8 Å³/f.u.

Cell: 5.932 5.932 4.853 Å, 90.00 90.00 90.00°
Space group P4/mmm (No. 123)
Inequivalent atoms, fractional coordinates:
1 Hg 0.000 0.000 0.000 (multiplicity 1)
2 P 0.000 0.000 0.500 (multiplicity 1)
3 Pb 0.000 0.500 0.000 (multiplicity 2)
4 Cl 0.500 0.500 0.500 (multiplicity 1)


(18)
DFT (PBE) results for a relaxed Hg6P4PbCl6 crystal.

Summary:
DOS(E_F) = 0.000 states/eV/atom
raw formation energy = -0.48 eV per atom
magnetic moment = 0.00 μB per cell
raw total energy = -0.2003 Ry/atom
calculated volume = 449.7 Å³/f.u.

Cell: 12.162 12.162 12.162 Å, 90.00 90.00 90.00°
Space group P2_13 (No. 198)
Inequivalent atoms, fractional coordinates:
1 Hg 0.015 0.229 0.718 (multiplicity 12)
2 Hg 0.015 0.274 0.218 (multiplicity 12)
3 P 0.183 0.683 0.817 (multiplicity 4)
4 P 0.184 0.816 0.316 (multiplicity 4)
5 P 0.211 0.289 0.711 (multiplicity 4)
6 P 0.212 0.212 0.212 (multiplicity 4)
7 Pb 0.007 0.007 0.007 (multiplicity 4)
8 Cl 0.019 0.274 0.461 (multiplicity 12)
9 Cl 0.021 0.245 0.959 (multiplicity 12)


(19)
DFT (PBE) results for a relaxed HgPPbCl2 crystal.

Summary:
DOS(E_F) = 0.430 states/eV/atom
offset from the most stable computed form = 0 meV per atom
raw formation energy = 0.03 eV per atom
magnetic moment = 2.02 μB per cell
raw total energy = -0.1906 Ry/atom
calculated volume = 171.7 Å³/f.u.

Cell: 5.530 5.530 5.615 Å, 90.00 90.00 90.00°
Space group P4/mmm (No. 123)
Inequivalent atoms, fractional coordinates:
1 Hg 0.000 0.000 0.000 (multiplicity 1)
2 P 0.500 0.500 0.000 (multiplicity 1)
3 Pb 0.500 0.500 0.500 (multiplicity 1)
4 Cl 0.000 0.500 0.500 (multiplicity 2)


(20)
DFT (PBE) results for a relaxed HgPPdCl2 crystal.

Summary:
DOS(E_F) = 0.485 states/eV/atom
offset from the most stable computed form = 0 meV per atom
raw formation energy = 0.13 eV per atom
magnetic moment = 0.88 μB per cell
raw total energy = -0.2053 Ry/atom
calculated volume = 116.4 Å³/f.u.

Cell: 4.951 4.951 4.749 Å, 90.00 90.00 90.00°
Space group P4/mmm (No. 123)
Inequivalent atoms, fractional coordinates:
1 Hg 0.000 0.000 0.000 (multiplicity 1)
2 P 0.500 0.500 0.000 (multiplicity 1)
3 Pd 0.500 0.500 0.500 (multiplicity 1)
4 Cl 0.000 0.500 0.500 (multiplicity 2)